[1]
Th4Hg2C | PBE | optimized geometry

The structure in POSCAR format:
```
Th4Hg2C
1.0
-2.533 2.533 7.756
2.533 -2.533 7.756
2.533 2.533 -7.756
Th Hg C
4 2 1
Direct
0.000 0.500 0.500 Th
0.162 0.162 0.000 Th
0.500 0.000 0.500 Th
0.838 0.838 0.000 Th
0.364 0.364 0.000 Hg
0.636 0.636 0.000 Hg
0.000 0.000 0.000 C
```

Properties
* ΔE_f: -0.152 eV/atom
* spin magnetization: 0.00 μB/cell
* Fermi-level density of states: 5.95 states/eV/f.u.
* total energy: -40.57 eV per formula unit
* SG: No. 139



[2]
Hg3SbIr | PBE | optimized geometry

The structure in POSCAR format:
```
Hg3SbIr
1.0
5.222 0.000 0.000
0.000 5.222 0.000
0.000 0.000 5.222
Hg Sb Ir
3 1 1
Direct
0.000 0.000 0.500 Hg
0.000 0.500 0.000 Hg
0.500 0.000 0.000 Hg
0.500 0.500 0.500 Sb
0.000 0.000 0.000 Ir
```

Properties
* spin magnetization: 0.71 μB/cell
* formation energy from raw total energies: 0.629 eV/atom
* Fermi-level density of states: 4.85 states/eV/f.u.
* total energy: -10.75 eV per formula unit
* SG: No. 221



Repeat the second record exactly.
Hg3SbIr | PBE | optimized geometry

The structure in POSCAR format:
```
Hg3SbIr
1.0
5.222 0.000 0.000
0.000 5.222 0.000
0.000 0.000 5.222
Hg Sb Ir
3 1 1
Direct
0.000 0.000 0.500 Hg
0.000 0.500 0.000 Hg
0.500 0.000 0.000 Hg
0.500 0.500 0.500 Sb
0.000 0.000 0.000 Ir
```

Properties
* spin magnetization: 0.71 μB/cell
* formation energy from raw total energies: 0.629 eV/atom
* Fermi-level density of states: 4.85 states/eV/f.u.
* total energy: -10.75 eV per formula unit
* SG: No. 221